DFT (PBE-GGA) results for crystalline Cd3Hg4Pb2 at its relaxed geometry.

The structure in extended XYZ format:
```
9
Lattice="5.765 -0.123 -0.849 2.203 9.149 3.371 -1.162 6.324 7.198" Properties=species:S:1:pos:R:3 pbc="T T T"
Hg 4.254 11.599 8.059
Cd 0.000 0.000 0.000
Hg 7.121 13.227 7.361
Cd 2.098 5.714 3.966
Hg -0.315 2.122 2.358
Pb 1.769 7.912 6.411
Hg 2.552 3.750 1.660
Cd 4.708 9.635 5.753
Pb 5.036 7.437 3.308
```

formation enthalpy at 0 K	0.035	eV/atom
V	26.48	Å³/atom
symmetry	No. 12
total energy	-11.05	eV for the cell shown
energy relative to the lowest polymorph listed for this composition	0.000	eV per atom


DFT (PBE-GGA) results for crystalline Hf6Bi3Pd at its relaxed geometry.

The structure in extended XYZ format:
```
20
Lattice="-0.070 -5.063 3.708 7.829 2.521 3.589 -6.447 3.746 4.993" Properties=species:S:1:pos:R:3 pbc="T T T"
Hf 4.277 0.251 8.665
Hf -3.048 0.429 6.868
Bi -0.494 1.788 5.464
Hf -0.384 0.773 8.261
Hf 1.706 1.149 3.502
Hf 4.381 2.326 4.286
Hf 6.269 -0.482 6.032
Hf -0.812 -1.169 5.601
Bi 1.207 -1.790 3.318
Bi -0.792 0.916 1.664
Pd 3.815 0.360 5.813
Bi 1.802 -0.943 7.089
Hf 3.689 -2.416 5.013
Hf 2.134 3.092 6.163
Hf -2.969 0.690 3.817
Bi 0.135 5.117 7.417
Hf -4.938 3.015 5.284
Hf -2.381 3.357 7.469
Pd -2.536 -1.630 8.289
Bi 2.133 2.410 9.071
```

formation enthalpy at 0 K	-0.056	eV/atom
V	24.21	Å³/atom
symmetry	No. 36
total energy	-154.24	eV for the cell shown


DFT (PBE-GGA) results for crystalline AcCdS2 at its relaxed geometry.

The structure in extended XYZ format:
```
4
Lattice="-1.971 1.943 -3.485 0.967 -1.336 -4.133 -6.455 -5.354 -2.175" Properties=species:S:1:pos:R:3 pbc="T T T"
Cd 0.000 0.000 0.000
S -4.525 -3.602 -2.290
S -2.934 -1.146 -7.504
Ac -3.729 -2.374 -4.897
```

V	35.48	Å³/atom
symmetry	No. 166
total energy	-18.07	eV for the cell shown
formation energy (no corrections)	-115.5	kJ per mole of atoms


DFT (PBE-GGA) results for crystalline Cu2NiHI at its relaxed geometry.

The structure in extended XYZ format:
```
5
Lattice="4.974 0.000 0.000 0.000 3.534 0.000 0.000 0.000 4.974" Properties=species:S:1:pos:R:3 pbc="T T T"
I 0.000 0.000 0.000
H 0.000 1.767 0.000
Cu 0.000 0.000 2.487
Cu 2.487 0.000 0.000
Ni 2.487 1.767 2.487
```

V	17.49	Å³/atom
symmetry	No. 123
total energy	-13.02	eV for the cell shown


DFT (PBE-GGA) results for crystalline Zn2Co6H at its relaxed geometry.

The structure in extended XYZ format:
```
9
Lattice="2.546 0.000 0.000 0.000 6.621 -2.066 0.000 0.651 5.879" Properties=species:S:1:pos:R:3 pbc="T T T"
Co 2.546 4.428 2.821
Co 1.273 1.227 -0.249
Co 0.000 0.453 1.745
H 0.000 0.000 0.000
Zn 1.273 5.035 0.662
Zn 1.273 2.237 3.151
Co 0.000 2.844 0.993
Co 2.546 6.820 2.068
Co 1.273 6.045 4.062
```

V	11.39	Å³/atom
symmetry	No. 10
total energy	-46.80	eV for the cell shown


DFT (PBE-GGA) results for crystalline CaAsBr at its relaxed geometry.

The structure in extended XYZ format:
```
3
Lattice="4.990 0.000 0.000 2.495 4.322 0.000 2.495 1.441 4.074" Properties=species:S:1:pos:R:3 pbc="T T T"
Br 7.485 4.322 3.056
As 4.990 2.881 2.037
Ca 0.000 0.000 0.000
```

V	29.29	Å³/atom
symmetry	No. 216
total energy	-9.25	eV for the cell shown
energy relative to the lowest polymorph listed for this composition	0.978	eV per atom
formation energy (no corrections)	-29.8	kJ per mole of atoms